# 1
This record from Alexandria describes a relaxed TiNbNi2 crystal. The functional is PBE.

Calculated values
Calculated volume (Å³/atom): 14.750
E (eV/atom): -7.260
Symmetry: I-42d (122)
E_form (eV/atom): 0.12

Lattice parameters (Å, degrees): 6.766 6.766 5.435 51.50 51.50 90.00
Fractional coordinates of all 8 atoms:
1 Ti 0.500 0.500 0.000
2 Ti 0.250 0.750 0.500
3 Ni 0.134 0.625 0.250
4 Ni 0.616 0.125 0.250
5 Ni 0.375 0.384 0.750
6 Ni 0.875 0.866 0.750
7 Nb 0.000 0.000 0.000
8 Nb 0.750 0.250 0.500

---

# 2
This record from Alexandria describes a relaxed PuScTe crystal. The functional is PBE.

Calculated values
Calculated volume (Å³/atom): 25.833
E (eV/atom): -8.463
Formation energy from raw total energies (eV per atom): -0.528
Excess energy over the best structure of this formula in the dataset (kJ/mol of atoms): 1.1
Symmetry: I4mm (107)

Lattice parameters (Å, degrees): 3.785 3.785 6.035 108.28 108.28 90.00
Site moments in Bohr magnetons follow the coordinates.
Fractional coordinates of all 3 atoms:
1 Te 0.685 0.685 0.371  -0.04
2 Sc 0.313 0.313 0.626  0.34
3 Pu 0.002 0.002 0.004  5.61

---

# 3
This record from Alexandria describes a relaxed Mg4VRh5 crystal. The functional is PBE.

Calculated values
Calculated volume (Å³/atom): 14.883
E (eV/atom): -5.710
Symmetry: P4/mmm (123)
E_form (eV/atom): -0.48

Lattice parameters (Å, degrees): 3.092 3.092 15.566 90.00 90.00 90.00
Site moments in Bohr magnetons follow the coordinates.
Fractional coordinates of all 10 atoms:
1 Mg 0.000 0.000 0.400  0.00
2 Mg 0.000 0.000 0.600  0.00
3 Mg 0.000 0.000 0.202  0.00
4 Mg 0.000 0.000 0.798  0.00
5 V 0.000 0.000 0.000  0.42
6 Rh 0.500 0.500 0.298  -0.01
7 Rh 0.500 0.500 0.500  0.00
8 Rh 0.500 0.500 0.702  -0.01
9 Rh 0.500 0.500 0.909  0.01
10 Rh 0.500 0.500 0.091  0.01

---

# 4
This record from Alexandria describes a relaxed ScW2Cl crystal. The functional is PBE.

Calculated values
Calculated volume (Å³/atom): 17.424
E (eV/atom): -7.892
Formation energy from raw total energies (eV per atom): 0.630
Excess energy over the best structure of this formula in the dataset (kJ/mol of atoms): 70.6
Symmetry: Cmmm (65)

Lattice parameters (Å, degrees): 2.848 2.848 9.200 90.00 90.00 110.97
Fractional coordinates of all 4 atoms:
1 Sc 0.500 0.500 0.750
2 W 0.000 0.000 0.491
3 W 0.000 0.000 0.009
4 Cl 0.500 0.500 0.250

---

# 5
This record from Alexandria describes a relaxed Sr4Ge2O crystal. The functional is PBE.

Calculated values
Calculated volume (Å³/atom): 29.074
E (eV/atom): -4.067
Formation energy from raw total energies (eV per atom): -1.079
Symmetry: I4/mmm (139)

Lattice parameters (Å, degrees): 5.084 5.084 8.655 72.92 72.92 90.00
Fractional coordinates of all 7 atoms:
1 Ge 0.627 0.627 0.746
2 Ge 0.373 0.373 0.254
3 Sr 0.829 0.829 0.343
4 Sr 0.500 0.000 0.000
5 Sr 0.000 0.500 0.000
6 Sr 0.171 0.171 0.657
7 O 0.000 0.000 0.000

---

# 6
This record from Alexandria describes a relaxed TbPr6Sm2Tm crystal. The functional is PBE.

Calculated values
Calculated volume (Å³/atom): 34.979
E (eV/atom): -4.608
Symmetry: C2/c (15)
E_form (eV/atom): 0.11

Lattice parameters (Å, degrees): 9.792 9.039 9.039 118.00 94.07 94.07
Fractional coordinates of all 20 atoms:
1 Sm 0.456 0.801 0.703
2 Sm 0.956 0.703 0.801
3 Sm 0.044 0.297 0.199
4 Sm 0.544 0.199 0.297
5 Pr 0.691 0.009 0.568
6 Pr 0.946 0.881 0.241
7 Pr 0.554 0.759 0.119
8 Pr 0.446 0.241 0.881
9 Pr 0.382 0.505 0.292
10 Pr 0.118 0.708 0.495
11 Pr 0.309 0.991 0.432
12 Pr 0.618 0.495 0.708
13 Pr 0.054 0.119 0.759
14 Pr 0.809 0.432 0.991
15 Pr 0.191 0.568 0.009
16 Pr 0.882 0.292 0.505
17 Tm 0.750 0.589 0.411
18 Tm 0.250 0.411 0.589
19 Tb 0.250 0.976 0.024
20 Tb 0.750 0.024 0.976

---

# 7
This record from Alexandria describes a relaxed SmErTmTl crystal. The functional is PBE.

Calculated values
Calculated volume (Å³/atom): 28.883
E (eV/atom): -4.067
Excess energy over the best structure of this formula in the dataset (kJ/mol of atoms): 13.2
Symmetry: F-43m (216)
E_form (eV/atom): -0.04

Lattice parameters (Å, degrees): 5.467 5.467 5.467 60.00 60.00 60.00
Site moments in Bohr magnetons follow the coordinates.
Fractional coordinates of all 4 atoms:
1 Tm 0.500 0.500 0.500  0.34
2 Tl 0.000 0.000 0.000  0.00
3 Er 0.250 0.250 0.250  0.30
4 Sm 0.750 0.750 0.750  0.20

---

# 8
This record from Alexandria describes a relaxed CaYNO2 crystal. The functional is PBE.

Calculated values
Calculated volume (Å³/atom): 17.120
E (eV/atom): -6.797
Formation energy from raw total energies (eV per atom): -1.456
Symmetry: P4/mmm (123)

Lattice parameters (Å, degrees): 4.376 4.376 4.470 90.00 90.00 90.00
Site moments in Bohr magnetons follow the coordinates.
Fractional coordinates of all 5 atoms:
1 N 0.000 0.000 0.500  0.93
2 Ca 0.500 0.500 0.500  -0.01
3 Y 0.000 0.000 0.000  0.03
4 O 0.500 0.000 0.000  0.29
5 O 0.000 0.500 0.000  0.29

---

# 9
This record from Alexandria describes a relaxed Cs3Tb2TlO6 crystal. The functional is PBE.

Calculated values
Calculated volume (Å³/atom): 19.185
E (eV/atom): -5.682
Formation energy from raw total energies (eV per atom): -2.020
Symmetry: C2/m (12)

Lattice parameters (Å, degrees): 6.210 6.210 7.197 98.24 98.24 120.00
Fractional coordinates of all 12 atoms:
1 O 0.601 0.943 0.830
2 O 0.285 0.285 0.830
3 O 0.399 0.057 0.170
4 O 0.715 0.715 0.170
5 O 0.943 0.601 0.830
6 O 0.057 0.399 0.170
7 Cs 0.165 0.835 0.500
8 Cs 0.500 0.500 0.500
9 Cs 0.835 0.165 0.500
10 Tl 0.000 0.000 0.000
11 Tb 0.333 0.667 0.000
12 Tb 0.667 0.333 0.000

---

# 10
This record from Alexandria describes a relaxed NaNiPb2W crystal. The functional is PBE.

Calculated values
Calculated volume (Å³/atom): 25.677
E (eV/atom): -4.547
Symmetry: P4/mmm (123)
E_form (eV/atom): 0.95

Lattice parameters (Å, degrees): 5.198 4.753 5.198 90.00 90.00 90.00
Site moments in Bohr magnetons follow the coordinates.
Fractional coordinates of all 5 atoms:
1 Na 0.500 0.500 0.500  0.00
2 Pb 0.000 0.000 0.500  -0.03
3 Pb 0.500 0.000 0.000  -0.01
4 Ni 0.000 0.000 0.000  0.10
5 W 0.000 0.500 0.000  1.95

---

# 11
This record from Alexandria describes a relaxed Sn2P2Pd crystal. The functional is PBE.

Calculated values
Calculated volume (Å³/atom): 20.286
E (eV/atom): -4.686
Symmetry: P4/mbm (127)
E_form (eV/atom): 0.12

Lattice parameters (Å, degrees): 7.187 7.187 3.927 90.00 90.00 90.00
Fractional coordinates of all 10 atoms:
1 Pd 0.500 0.500 0.000
2 Pd 0.000 0.000 0.000
3 P 0.166 0.334 0.000
4 P 0.834 0.666 0.000
5 P 0.666 0.166 0.000
6 P 0.334 0.834 0.000
7 Sn 0.844 0.344 0.500
8 Sn 0.344 0.156 0.500
9 Sn 0.656 0.844 0.500
10 Sn 0.156 0.656 0.500

---

# 12
This record from Alexandria describes a relaxed DySn2Pd crystal. The functional is PBE.

Calculated values
Calculated volume (Å³/atom): 22.342
E (eV/atom): -5.051
Symmetry: P4/mmm (123)
E_form (eV/atom): -0.60

Lattice parameters (Å, degrees): 4.419 4.497 4.497 90.00 90.00 90.00
Fractional coordinates of all 4 atoms:
1 Sn 0.000 0.000 0.500
2 Sn 0.000 0.500 0.000
3 Pd 0.500 0.000 0.000
4 Dy 0.500 0.500 0.500

---

# 13
This record from Alexandria describes a relaxed Rb2InAu4 crystal. The functional is PBE.

Calculated values
Calculated volume (Å³/atom): 36.279
E (eV/atom): -2.634
Symmetry: I4/mmm (139)
E_form (eV/atom): -0.09

Lattice parameters (Å, degrees): 5.344 5.344 9.662 73.95 73.95 90.00
Fractional coordinates of all 7 atoms:
1 Au 0.500 0.000 0.000
2 Au 0.156 0.156 0.687
3 Au 0.844 0.844 0.313
4 Au 0.000 0.500 0.000
5 Rb 0.645 0.645 0.710
6 Rb 0.355 0.355 0.290
7 In 0.000 0.000 0.000

---

# 14
This record from Alexandria describes a relaxed Sr2CuPt crystal. The functional is PBE.

Calculated values
Calculated volume (Å³/atom): 27.593
E (eV/atom): -3.900
Symmetry: P2_1/m (11)
E_form (eV/atom): -0.52

Lattice parameters (Å, degrees): 4.481 6.082 8.672 110.93 90.00 90.00
Fractional coordinates of all 8 atoms:
1 Sr 0.250 0.785 0.566
2 Sr 0.250 0.775 0.074
3 Sr 0.750 0.225 0.926
4 Sr 0.750 0.215 0.434
5 Cu 0.250 0.378 0.221
6 Cu 0.750 0.622 0.779
7 Pt 0.250 0.379 0.719
8 Pt 0.750 0.621 0.281

---

# 15
This record from Alexandria describes a relaxed Ca2Hg4Bi5 crystal. The functional is PBE.

Calculated values
Calculated volume (Å³/atom): 32.360
E (eV/atom): -2.495
Symmetry: Immm (71)
E_form (eV/atom): -0.26

Lattice parameters (Å, degrees): 4.514 9.283 9.283 73.88 75.93 75.93
Fractional coordinates of all 11 atoms:
1 Ca 0.831 0.169 0.169
2 Ca 0.169 0.831 0.831
3 Hg 0.000 0.204 0.796
4 Hg 0.400 0.600 0.600
5 Hg 0.000 0.796 0.204
6 Hg 0.600 0.400 0.400
7 Bi 0.195 0.483 0.127
8 Bi 0.805 0.873 0.517
9 Bi 0.500 0.000 0.000
10 Bi 0.195 0.127 0.483
11 Bi 0.805 0.517 0.873

---

# 16
This record from Alexandria describes a relaxed Pa2TlF8 crystal. The functional is PBE.

Calculated values
Calculated volume (Å³/atom): 16.730
E (eV/atom): -6.605
Formation energy from raw total energies (eV per atom): -3.302
Symmetry: C2/m (12)

Lattice parameters (Å, degrees): 4.270 7.020 7.020 64.13 101.47 101.47
Site moments in Bohr magnetons follow the coordinates.
Fractional coordinates of all 11 atoms:
1 Tl 0.000 0.000 0.000  0.01
2 Pa 0.400 0.669 0.669  1.48
3 Pa 0.600 0.331 0.331  1.48
4 F 0.462 0.946 0.344  -0.01
5 F 0.972 0.760 0.760  -0.01
6 F 0.213 0.452 0.452  -0.01
7 F 0.538 0.656 0.054  -0.01
8 F 0.028 0.240 0.240  -0.01
9 F 0.538 0.054 0.656  -0.01
10 F 0.462 0.344 0.946  -0.01
11 F 0.787 0.548 0.548  -0.01

---

# 17
This record from Alexandria describes a relaxed La2P2Ru2C crystal. The functional is PBE.

Calculated values
Calculated volume (Å³/atom): 18.494
E (eV/atom): -7.826
Symmetry: C2/m (12)
E_form (eV/atom): -0.90

Lattice parameters (Å, degrees): 4.044 5.961 6.251 69.95 71.13 70.17
Fractional coordinates of all 7 atoms:
1 Ru 0.806 0.310 0.077
2 Ru 0.194 0.690 0.923
3 La 0.436 0.813 0.315
4 La 0.564 0.187 0.685
5 P 0.188 0.355 0.270
6 P 0.812 0.645 0.730
7 C 0.000 0.000 0.000

---

# 18
This record from Alexandria describes a relaxed Sc3TlO crystal. The functional is PBE.

Calculated values
Calculated volume (Å³/atom): 21.008
E (eV/atom): -6.445
Formation energy from raw total energies (eV per atom): -1.182
Symmetry: P6_3/mmc (194)

Lattice parameters (Å, degrees): 3.514 3.514 19.648 90.00 90.00 120.00
Fractional coordinates of all 10 atoms:
1 Sc 0.333 0.667 0.878
2 Sc 0.667 0.333 0.378
3 Sc 0.000 0.000 0.750
4 Sc 0.000 0.000 0.250
5 Sc 0.667 0.333 0.122
6 Sc 0.333 0.667 0.622
7 O 0.667 0.333 0.250
8 O 0.333 0.667 0.750
9 Tl 0.000 0.000 0.000
10 Tl 0.000 0.000 0.500

---

# 19
This record from Alexandria describes a relaxed TePtPbO6 crystal. The functional is PBE.

Calculated values
Calculated volume (Å³/atom): 14.884
E (eV/atom): -5.676
Formation energy from raw total energies (eV per atom): -0.939
Symmetry: P-31c (163)

Lattice parameters (Å, degrees): 5.322 5.322 10.921 90.00 90.00 120.00
Fractional coordinates of all 18 atoms:
1 Pb 0.000 0.000 0.500
2 Pb 0.000 0.000 0.000
3 O 0.992 0.366 0.149
4 O 0.374 0.366 0.351
5 O 0.008 0.634 0.851
6 O 0.374 0.008 0.149
7 O 0.626 0.634 0.649
8 O 0.634 0.626 0.149
9 O 0.626 0.992 0.851
10 O 0.634 0.008 0.351
11 O 0.366 0.374 0.851
12 O 0.008 0.374 0.649
13 O 0.992 0.626 0.351
14 O 0.366 0.992 0.649
15 Te 0.333 0.667 0.750
16 Te 0.667 0.333 0.250
17 Pt 0.667 0.333 0.750
18 Pt 0.333 0.667 0.250

---

# 20
This record from Alexandria describes a relaxed NaCu7O12 crystal. The functional is PBE.

Calculated values
Calculated volume (Å³/atom): 9.698
E (eV/atom): -4.923
Formation energy from raw total energies (eV per atom): -0.449
Symmetry: Im-3 (204)

Lattice parameters (Å, degrees): 6.316 6.316 6.316 109.47 109.47 109.47
Site moments in Bohr magnetons follow the coordinates.
Fractional coordinates of all 20 atoms:
1 Cu 0.500 0.500 0.500  0.04
2 Cu 0.000 0.000 0.500  0.04
3 Cu 0.500 0.000 0.000  0.04
4 Cu 0.000 0.500 0.000  0.04
5 Cu 0.500 0.500 0.000  0.01
6 Cu 0.000 0.500 0.500  0.01
7 Cu 0.500 0.000 0.500  0.01
8 Na 0.000 0.000 0.000  0.00
9 O 0.510 0.686 0.825  0.07
10 O 0.139 0.314 0.825  0.07
11 O 0.490 0.314 0.175  0.07
12 O 0.686 0.825 0.510  0.07
13 O 0.686 0.175 0.861  0.07
14 O 0.825 0.139 0.314  0.07
15 O 0.314 0.175 0.490  0.07
16 O 0.175 0.861 0.686  0.07
17 O 0.175 0.490 0.314  0.07
18 O 0.861 0.686 0.175  0.07
19 O 0.825 0.510 0.686  0.07
20 O 0.314 0.825 0.139  0.07